No. 1
## CsTbLu (PBE)

Data for a geometry-optimized CsTbLu structure.

## Properties
**Symmetry**: F-43m
**Final energy**: -2.03 eV/atom

abc: 5.533 5.533 5.533
angles: 60.00 60.00 60.00
Atoms (fractional coordinates):
Cs1 0.000 0.000 0.000
Tb1 0.250 0.250 0.250
Lu1 0.750 0.750 0.750

---

No. 2
## La2Pr2CBr5 (PBE)

Data for a geometry-optimized La2Pr2CBr5 structure.

## Properties
**Symmetry**: C2/m
**Final energy**: -5.16 eV/atom

abc: 9.498 9.498 8.487
angles: 103.58 103.58 24.42
Atoms (fractional coordinates):
La1 0.143 0.143 0.078
La2 0.857 0.857 0.922
Pr1 0.499 0.499 0.207
Pr2 0.501 0.501 0.793
C1 0.000 0.000 0.000
Br1 0.000 0.000 0.500
Br2 0.330 0.330 0.176
Br3 0.336 0.336 0.650
Br4 0.664 0.664 0.350
Br5 0.670 0.670 0.824

---

No. 3
## Zr4ZnAsN2 (PBE)

Data for a geometry-optimized Zr4ZnAsN2 structure.

## Properties
**Symmetry**: P-6m2
**Final energy**: -8.23 eV/atom

abc: 3.365 3.365 13.207
angles: 90.00 90.00 120.00
Atoms (fractional coordinates):
Zr1 0.000 0.000 0.146
Zr2 0.000 0.000 0.854
Zr3 0.667 0.333 0.332
Zr4 0.667 0.333 0.668
Zn1 0.000 0.000 0.500
As1 0.667 0.333 0.000
N1 0.333 0.667 0.243
N2 0.333 0.667 0.757

---

No. 4
## Pm3Co (PBE)

Data for a geometry-optimized Pm3Co structure.

## Properties
**Symmetry**: Fm-3m
**Offset from the most stable computed form**: 0.184 eV/atom
**Energy of formation**: 0.382 eV per atom

abc: 5.209 5.209 5.209
angles: 60.00 60.00 60.00
Atoms (fractional coordinates):
Pm1 0.000 0.000 0.000
Pm2 0.250 0.250 0.250
Pm3 0.750 0.750 0.750
Co1 0.500 0.500 0.500

---

No. 5
## UNbGa (PBE)

Data for a geometry-optimized UNbGa structure.

## Properties
**Symmetry**: F-43m
**Offset from the most stable computed form**: 0.480 eV/atom

abc: 4.570 4.570 4.570
angles: 60.00 60.00 60.00
Atoms (fractional coordinates):
U1 0.000 0.000 0.000
Nb1 0.250 0.250 0.250
Ga1 0.750 0.750 0.750

---

No. 6
## NaInNiTe3 (PBE)

Data for a geometry-optimized NaInNiTe3 structure.

## Properties
**Symmetry**: P2_1/m
**Offset from the most stable computed form**: 0.000 eV/atom

abc: 8.711 4.282 9.774
angles: 90.00 113.63 90.00
Atoms (fractional coordinates):
Na1 0.003 0.250 0.264
Na2 0.997 0.750 0.736
In1 0.406 0.250 0.130
In2 0.594 0.750 0.870
Ni1 0.492 0.750 0.322
Ni2 0.508 0.250 0.678
Te1 0.168 0.750 0.117
Te2 0.299 0.250 0.807
Te3 0.365 0.750 0.519
Te4 0.635 0.250 0.481
Te5 0.701 0.750 0.193
Te6 0.832 0.250 0.883

---

No. 7
## SmMoC3 (PBE)

Data for a geometry-optimized SmMoC3 structure.

## Properties
**Symmetry**: P2_1/m
**Final energy**: -8.08 eV/atom

abc: 5.059 3.761 6.207
angles: 90.00 102.75 90.00
Atoms (fractional coordinates):
Sm1 0.183 0.250 0.200
Sm2 0.817 0.750 0.800
Mo1 0.325 0.250 0.714
Mo2 0.675 0.750 0.286
C1 0.100 0.750 0.485
C2 0.352 0.750 0.966
C3 0.371 0.750 0.490
C4 0.629 0.250 0.510
C5 0.648 0.250 0.034
C6 0.900 0.250 0.515

---

No. 8
## MgAg (PBE)

Data for a geometry-optimized MgAg structure.

## Properties
**Symmetry**: F-43m
**Final energy**: -1.76 eV/atom

abc: 4.300 4.300 4.300
angles: 60.00 60.00 60.00
Atoms (fractional coordinates):
Mg1 0.000 0.000 0.000
Ag1 0.250 0.250 0.250